11
Lattice="5.365 0.000 0.000 0.000 6.143 1.208 -2.683 -1.183 9.250" Properties=species:S:1:pos:R:3 comment="Ho8Sc2Ga | the Alexandria database | PBE | optimized geometry" n_ef_per_ev_cell=14.35 magnetic_moment_mub_per_cell=0.0 space_group="C2/m, No. 12" dft_energy_ev_per_atom=-4.8245 pbc="T T T"
Ho 0.000 2.716 8.507
Ho 2.683 5.014 4.005
Ho 0.000 -0.054 6.453
Ho 2.683 4.115 7.283
Sc 0.000 3.498 5.263
Sc 2.683 1.461 5.195
Ga 2.683 0.000 0.000
Ho 0.000 0.844 3.175
Ho 0.000 4.476 1.690
Ho 2.683 0.483 8.768
Ho 2.683 2.243 1.951